BaLi2Ag | PBEsol | relaxed

Geometry as POSCAR:
```
BaLi2Ag
1.0
3.6001 0.0000 0.0000
0.0000 3.6001 0.0000
0.0000 0.0000 7.6260
Li Ag Ba
2 1 1
Direct
0.0000 0.0000 0.1635
0.0000 0.0000 0.8365
0.5000 0.5000 0.0000
0.5000 0.5000 0.5000
```

Properties
distance to the lowest polymorph of the same formula: 123 meV per atom
space-group type: P4/mmm

Ca2CdPt | PBEsol | relaxed

Geometry as POSCAR:
```
Ca2CdPt
1.0
-2.9189 -1.4369 -2.4403
0.7544 -4.1362 1.5330
-2.2550 1.5140 5.1946
Cd Ca Pt
1 2 1
Direct
0.6972 0.0000 0.3945
0.2720 0.5000 0.5440
0.9854 0.0000 0.9707
0.5518 0.5000 0.1036
```

Properties
space-group type: Amm2

Mg2AlTl | PBEsol | relaxed

Geometry as POSCAR:
```
Mg2AlTl
1.0
-2.8691 -1.2506 -0.4618
0.3399 -1.7460 2.6163
-3.4781 6.2680 4.6350
Mg Al Tl
2 1 1
Direct
0.0000 0.0000 0.7320
0.0000 0.0000 0.2680
0.5000 0.5000 0.5000
0.5000 0.5000 0.0000
```

Properties
space-group type: P4/mmm

BaAlNi2Te | PBEsol | relaxed

Geometry as POSCAR:
```
BaAlNi2Te
1.0
-2.8070 1.1673 3.5212
-3.6493 -0.0751 -2.8841
-0.7817 -5.2778 1.1265
Ni Ba Al Te
2 1 1 1
Direct
0.5000 0.0000 0.0000
0.0000 0.5000 0.0000
0.5000 0.5000 0.5000
0.0000 0.0000 0.0000
0.0000 0.0000 0.5000
```

Properties
formation energy without anion corrections: 0.11 eV per atom
space-group type: P4/mmm

Number 1: E_tot -2.3283 eV/atom. Number 2: E_tot -3.6667 eV/atom. Number 3: E_tot -2.5460 eV/atom. Number 4: E_tot -4.3064 eV/atom.